# 1
CeMgI4 | Alexandria via LeMat-Bulk | PBE | relaxed; formation energy from raw total energies = -1093 meV per atom; SG = No. 10
1.0
7.602 0.000 0.000
0.000 4.170 0.000
-0.465 0.000 8.040
Ce Mg I
1 1 4
Direct
0.000 0.000 0.000
0.000 0.500 0.500
0.221 0.000 0.357
0.243 0.500 0.808
0.757 0.500 0.192
0.779 0.000 0.643



# 2
Tm2In9Sn | Alexandria via LeMat-Bulk | PBE | relaxed; SG = No. 123; energy of formation = -0.20 eV per atom
1.0
4.619 0.000 0.000
0.000 4.619 0.000
0.000 0.000 14.349
Tm In Sn
2 9 1
Direct
0.000 0.000 0.160
0.000 0.000 0.840
0.000 0.500 0.000
0.000 0.500 0.328
0.000 0.500 0.672
0.500 0.000 0.000
0.500 0.000 0.328
0.500 0.000 0.672
0.500 0.500 0.163
0.500 0.500 0.500
0.500 0.500 0.837
0.000 0.000 0.500



Summary of spin magnetization in μB/f.u.
1.941; 0.000
(order as listed above)